a:
Below is an optimized crystal structure of Pr7Nd2Tm2, with properties calculated at the PBE level.

For the total magnetization, the calculation gives 0.0 μB per cell.

The structure belongs to space group C2/m (No. 12); the cell edges are 9.935, 9.544 and 8.563 Å and the angles 90.00°, 104.54° and 90.00°. The asymmetric unit holds Pr at (0.000, 0.000, 0.000), Pr at (0.201, 0.297, 0.182), Pr at (0.206, 0.500, 0.522), Nd at (0.089, 0.500, 0.835) and Tm at (0.000, 0.198, 0.500).


b:
Below is an optimized crystal structure of Pr7Nd2Tm2, with properties calculated at the PBE level.

For the total magnetization, the calculation gives 0.0 μB per cell.

The structure belongs to space group C2/m (No. 12); the cell edges are 11.705, 11.608 and 6.166 Å and the angles 90.00°, 111.99° and 90.00°. The asymmetric unit holds Pr at (0.000, 0.000, 0.000), Pr at (0.073, 0.500, 0.799), Pr at (0.184, 0.229, 0.181), Nd at (0.225, 0.000, 0.600) and Tm at (0.000, 0.217, 0.500).


The data favor b; the next most stable structure lies 0.034 eV/atom above it.


a:
Below is an optimized crystal structure of Pr7Nd4Tm, with properties calculated at the PBE level.

For the total magnetization, the calculation gives 0.5 μB per cell.

The structure belongs to space group C2/m (No. 12); the cell edges are 16.574, 6.132 and 9.472 Å and the angles 90.00°, 116.01° and 90.00°. The asymmetric unit holds Pr at (0.000, 0.000, 0.000), Pr at (0.081, 0.500, 0.434), Pr at (0.206, 0.500, 0.874), Pr at (0.207, 0.500, 0.222), Nd at (0.073, 0.000, 0.700), Nd at (0.173, 0.000, 0.389) and Tm at (0.000, 0.500, 0.000).


b:
Below is an optimized crystal structure of Pr7Nd4Tm, with properties calculated at the PBE level.

For the total magnetization, the calculation gives 0.0 μB per cell.

The structure belongs to space group P-1 (No. 2); the cell edges are 6.417, 7.419 and 9.202 Å and the angles 89.96°, 76.48° and 89.99°. The asymmetric unit holds Pr at (0.000, 0.000, 0.000), Pr at (0.221, 0.500, 0.332), Pr at (0.277, 0.251, 0.671), Pr at (0.500, 0.252, 0.000), Nd at (0.225, 0.000, 0.333), Nd at (0.276, 0.749, 0.671) and Tm at (0.000, 0.500, 0.000).


The data favor b; the next most stable structure lies 0.194 eV/atom above it.


a:
Below is an optimized crystal structure of Pr2NdTm9, with properties calculated at the PBE level.

For the total magnetization, the calculation gives 0.0 μB per cell.

The structure belongs to space group P4/mmm (No. 123); the cell edges are 5.009, 5.009 and 15.027 Å and the angles 90.00°, 90.00° and 90.00°. The asymmetric unit holds Pr at (0.000, 0.000, 0.167), Nd at (0.000, 0.000, 0.500), Tm at (0.000, 0.500, 0.000), Tm at (0.000, 0.500, 0.334), Tm at (0.500, 0.500, 0.167) and Tm at (0.500, 0.500, 0.500).


b:
Below is an optimized crystal structure of Pr2NdTm9, with properties calculated at the PBE level.

For the total magnetization, the calculation gives 0.0 μB per cell.

The structure belongs to space group P6/mmm (No. 191); the cell edges are 11.2076, 11.2076 and 3.5043 Å and the angles 90.00°, 90.00° and 120.00°. The asymmetric unit holds Pr at (0.3333, 0.6667, 0.0000), Nd at (0.0000, 0.0000, 0.0000), Tm at (0.0000, 0.5000, 0.0000) and Tm at (0.1756, 0.3511, 0.5000).


The data favor a; the next most stable structure lies 0.041 eV/atom above it.


a:
Below is an optimized crystal structure of Pr7Nd3Tm2, with properties calculated at the PBE level.

For the total magnetization, the calculation gives 0.0 μB per cell.

The structure belongs to space group P2/m (No. 10); the cell edges are 5.998, 3.641 and 19.407 Å and the angles 90.00°, 93.38° and 90.00°. The asymmetric unit holds Pr at (0.000, 0.000, 0.000), Pr at (0.184, 0.500, 0.184), Pr at (0.257, 0.500, 0.535), Pr at (0.319, 0.000, 0.853), Nd at (0.220, 0.000, 0.366), Nd at (0.500, 0.500, 0.000) and Tm at (0.290, 0.500, 0.703).


b:
Below is an optimized crystal structure of Pr7Nd3Tm2, with properties calculated at the PBE level.

For the total magnetization, the calculation gives 0.0 μB per cell.

The structure belongs to space group P2/m (No. 10); the cell edges are 6.371, 5.701 and 12.329 Å and the angles 90.00°, 91.58° and 90.00°. The asymmetric unit holds Pr at (0.000, 0.000, 0.000), Pr at (0.093, 0.500, 0.170), Pr at (0.247, 0.500, 0.450), Pr at (0.439, 0.000, 0.191), Nd at (0.074, 0.000, 0.659), Nd at (0.500, 0.500, 0.000) and Tm at (0.370, 0.500, 0.723).


The data favor a; the next most stable structure lies 0.168 eV/atom above it.


a:
Below is an optimized crystal structure of Pr5Nd2Tm3, with properties calculated at the PBE level.

For the total magnetization, the calculation gives 0.0 μB per cell.

The structure belongs to space group C2/c (No. 15); the cell edges are 10.957, 15.144 and 10.005 Å and the angles 90.00°, 123.00° and 90.00°. The asymmetric unit holds Pr at (0.000, 0.026, 0.250), Pr at (0.000, 0.232, 0.250), Pr at (0.000, 0.271, 0.750), Pr at (0.241, 0.120, 0.738), Nd at (0.150, 0.379, 0.556), Tm at (0.000, 0.478, 0.750) and Tm at (0.158, 0.123, 0.054).


b:
Below is an optimized crystal structure of Pr5Nd2Tm3, with properties calculated at the PBE level.

For the total magnetization, the calculation gives 0.0 μB per cell.

The structure belongs to space group Ibam (No. 72); the cell edges are 9.513, 22.235 and 6.878 Å and the angles 90.00°, 90.00° and 90.00°. The asymmetric unit holds Pr at (0.000, 0.000, 0.250), Pr at (0.000, 0.254, 0.250), Pr at (0.094, 0.128, 0.000), Nd at (0.099, 0.380, 0.500), Tm at (0.000, 0.500, 0.250) and Tm at (0.245, 0.383, 0.000).


The data favor a; the next most stable structure lies 0.186 eV/atom above it.


a:
Below is an optimized crystal structure of Pr4NdTm6, with properties calculated at the PBE level.

For the total magnetization, the calculation gives 0.0 μB per cell.

The structure belongs to space group I-42m (No. 121); the cell edges are 6.702, 6.702 and 16.913 Å and the angles 90.00°, 90.00° and 90.00°. The asymmetric unit holds Pr at (0.191, 0.191, 0.176), Nd at (0.000, 0.000, 0.000), Tm at (0.000, 0.500, 0.000) and Tm at (0.177, 0.177, 0.378).


b:
Below is an optimized crystal structure of Pr4NdTm6, with properties calculated at the PBE level.

For the total magnetization, the calculation gives 0.0 μB per cell.

The structure belongs to space group P-6m2 (No. 187); the cell edges are 11.0144, 11.0144 and 3.5343 Å and the angles 90.00°, 90.00° and 120.00°. The asymmetric unit holds Pr at (0.0000, 0.0000, 0.0000), Pr at (0.5320, 0.0639, 0.5000), Nd at (0.3333, 0.6667, 0.0000), Tm at (0.1625, 0.3251, 0.5000) and Tm at (0.3239, 0.1619, 0.0000).


The data favor b; the next most stable structure lies 0.150 eV/atom above it.